A geometry-optimized Pr3Tm4Mg structure, computed with PBE-GGA.

Properties
For the total energy, the calculation gives -4.22 eV per atom. The formation energy is 0.00 eV/atom. The calculation puts the density at 7363 kg/m³. The space group is No. 31. The relative energy among the computed polymorphs is 0 meV per atom.

a b c (Å): 11.323 7.193 6.218
angles (deg): 90.00 90.00 90.00
Atoms (fractional coordinates):
Pr1 0.000 0.132 0.000
Pr2 0.240 0.122 0.649
Pr3 0.260 0.878 0.149
Pr4 0.500 0.868 0.500
Pr5 0.740 0.878 0.149
Pr6 0.760 0.122 0.649
Tm1 0.000 0.389 0.473
Tm2 0.000 0.624 0.984
Tm3 0.245 0.621 0.648
Tm4 0.255 0.379 0.148
Tm5 0.500 0.376 0.484
Tm6 0.500 0.611 0.973
Tm7 0.745 0.379 0.148
Tm8 0.755 0.621 0.648
Mg1 0.000 0.861 0.486
Mg2 0.500 0.139 0.986